[1]
# TiNbPd2W

A crystal of TiNbPd2W relaxed with PBEsol (SCAN, Alexandria).

Space group: P4/mmm, No. 123
E_form (eV/atom): 1.68
Volume (A^3/atom): 19.69

```
data_TiNbPd2W
_symmetry_space_group_name_H-M 'P 1'
_symmetry_Int_Tables_number 1
_symmetry_space_group_name_Hall 'P 1'
_cell_length_a 4.643
_cell_length_b 4.643
_cell_length_c 4.567
_cell_angle_alpha 90.00
_cell_angle_beta 90.00
_cell_angle_gamma 90.00
loop_
_atom_site_label
_atom_site_fract_x
_atom_site_fract_y
_atom_site_fract_z
Ti1 0.000 0.000 0.000
Nb1 0.000 0.000 0.500
Pd1 0.000 0.500 0.500
Pd2 0.500 0.000 0.500
W1 0.500 0.500 0.000
```



[2]
# YAg2AsF

A crystal of YAg2AsF relaxed with PBEsol (SCAN, Alexandria).

Space group: P4/mmm, No. 123
Volume (A^3/atom): 18.95
VASP energy (eV per atom): -23.6492

```
data_YAg2AsF
_symmetry_space_group_name_H-M 'P 1'
_symmetry_Int_Tables_number 1
_symmetry_space_group_name_Hall 'P 1'
_cell_length_a 4.620
_cell_length_b 4.620
_cell_length_c 4.440
_cell_angle_alpha 90.00
_cell_angle_beta 90.00
_cell_angle_gamma 90.00
loop_
_atom_site_label
_atom_site_fract_x
_atom_site_fract_y
_atom_site_fract_z
Y1 0.000 0.000 0.000
Ag1 0.000 0.500 0.500
Ag2 0.500 0.000 0.500
As1 0.500 0.500 0.000
F1 0.000 0.000 0.500
```



[3]
# SrAu3F

A crystal of SrAu3F relaxed with PBEsol (SCAN, Alexandria).

Space group: Pm-3m, No. 221
Volume (A^3/atom): 37.29
VASP energy (eV per atom): -45.9464

```
data_SrAu3F
_symmetry_space_group_name_H-M 'P 1'
_symmetry_Int_Tables_number 1
_symmetry_space_group_name_Hall 'P 1'
_cell_length_a 5.713
_cell_length_b 5.713
_cell_length_c 5.713
_cell_angle_alpha 90.00
_cell_angle_beta 90.00
_cell_angle_gamma 90.00
loop_
_atom_site_label
_atom_site_fract_x
_atom_site_fract_y
_atom_site_fract_z
Sr1 0.000 0.000 0.000
Au1 0.000 0.000 0.500
Au2 0.000 0.500 0.000
Au3 0.500 0.000 0.000
F1 0.500 0.500 0.500
```



[4]
# Dy3CrS6

A crystal of Dy3CrS6 relaxed with PBEsol (SCAN, Alexandria).

Space group: Pnnm, No. 58
Volume (A^3/atom): 19.05
VASP energy (eV per atom): -24.0081

```
data_Dy3CrS6
_symmetry_space_group_name_H-M 'P 1'
_symmetry_Int_Tables_number 1
_symmetry_space_group_name_Hall 'P 1'
_cell_length_a 13.097
_cell_length_b 15.639
_cell_length_c 3.720
_cell_angle_alpha 90.00
_cell_angle_beta 90.00
_cell_angle_gamma 90.00
loop_
_atom_site_label
_atom_site_fract_x
_atom_site_fract_y
_atom_site_fract_z
Dy1 0.053 0.221 0.000
Dy2 0.179 0.648 0.000
Dy3 0.240 0.904 0.500
Dy4 0.260 0.404 0.000
Dy5 0.321 0.148 0.500
Dy6 0.447 0.721 0.500
Dy7 0.553 0.279 0.500
Dy8 0.679 0.852 0.500
Dy9 0.740 0.596 0.000
Dy10 0.760 0.096 0.500
Dy11 0.821 0.352 0.000
Dy12 0.947 0.779 0.000
Cr1 0.000 0.000 0.500
Cr2 0.000 0.500 0.500
Cr3 0.500 0.000 0.000
Cr4 0.500 0.500 0.000
S1 0.025 0.403 0.000
S2 0.080 0.925 0.000
S3 0.101 0.755 0.500
S4 0.123 0.106 0.500
S5 0.180 0.520 0.500
S6 0.190 0.290 0.500
S7 0.310 0.790 0.000
S8 0.320 0.020 0.000
S9 0.377 0.606 0.000
S10 0.399 0.255 0.000
S11 0.420 0.425 0.500
S12 0.475 0.903 0.500
S13 0.525 0.097 0.500
S14 0.580 0.575 0.500
S15 0.601 0.745 0.000
S16 0.623 0.394 0.000
S17 0.680 0.980 0.000
S18 0.690 0.210 0.000
S19 0.810 0.710 0.500
S20 0.820 0.480 0.500
S21 0.877 0.894 0.500
S22 0.899 0.245 0.500
S23 0.920 0.075 0.000
S24 0.975 0.597 0.000
```



[5]
# Sb2PtS2

A crystal of Sb2PtS2 relaxed with PBEsol (SCAN, Alexandria).

Space group: P4/mbm, No. 127
Volume (A^3/atom): 21.69
VASP energy (eV per atom): -32.6819

```
data_Sb2PtS2
_symmetry_space_group_name_H-M 'P 1'
_symmetry_Int_Tables_number 1
_symmetry_space_group_name_Hall 'P 1'
_cell_length_a 7.562
_cell_length_b 7.562
_cell_length_c 3.793
_cell_angle_alpha 90.00
_cell_angle_beta 90.00
_cell_angle_gamma 90.00
loop_
_atom_site_label
_atom_site_fract_x
_atom_site_fract_y
_atom_site_fract_z
Sb1 0.203 0.297 0.000
Sb2 0.297 0.797 0.000
Sb3 0.703 0.203 0.000
Sb4 0.797 0.703 0.000
Pt1 0.000 0.000 0.000
Pt2 0.500 0.500 0.000
S1 0.139 0.639 0.500
S2 0.361 0.139 0.500
S3 0.639 0.861 0.500
S4 0.861 0.361 0.500
```



[6]
# AlCr2Mo

A crystal of AlCr2Mo relaxed with PBEsol (SCAN, Alexandria).

Space group: P4/mmm, No. 123
E_form (eV/atom): 0.24
Volume (A^3/atom): 13.17

```
data_AlCr2Mo
_symmetry_space_group_name_H-M 'P 1'
_symmetry_Int_Tables_number 1
_symmetry_space_group_name_Hall 'P 1'
_cell_length_a 2.532
_cell_length_b 2.532
_cell_length_c 8.217
_cell_angle_alpha 90.00
_cell_angle_beta 90.00
_cell_angle_gamma 90.00
loop_
_atom_site_label
_atom_site_fract_x
_atom_site_fract_y
_atom_site_fract_z
Al1 0.000 0.000 0.000
Cr1 0.500 0.500 0.236
Cr2 0.500 0.500 0.764
Mo1 0.000 0.000 0.500
```



[7]
# ZnCd

A crystal of ZnCd relaxed with PBEsol (SCAN, Alexandria).

Space group: Cmcm, No. 63
E_form (eV/atom): 0.09
Volume (A^3/atom): 17.94

```
data_ZnCd
_symmetry_space_group_name_H-M 'P 1'
_symmetry_Int_Tables_number 1
_symmetry_space_group_name_Hall 'P 1'
_cell_length_a 5.392
_cell_length_b 5.392
_cell_length_c 4.286
_cell_angle_alpha 90.00
_cell_angle_beta 90.00
_cell_angle_gamma 144.84
loop_
_atom_site_label
_atom_site_fract_x
_atom_site_fract_y
_atom_site_fract_z
Zn1 0.067 0.933 0.750
Zn2 0.933 0.067 0.250
Cd1 0.334 0.666 0.750
Cd2 0.666 0.334 0.250
```



[8]
# MoP3Pb2O11

A crystal of MoP3Pb2O11 relaxed with PBEsol (SCAN, Alexandria).

Space group: P2_1/c, No. 14
Volume (A^3/atom): 13.36
VASP energy (eV per atom): -19.0124

```
data_MoP3Pb2O11
_symmetry_space_group_name_H-M 'P 1'
_symmetry_Int_Tables_number 1
_symmetry_space_group_name_Hall 'P 1'
_cell_length_a 6.543
_cell_length_b 7.048
_cell_length_c 19.976
_cell_angle_alpha 90.00
_cell_angle_beta 99.48
_cell_angle_gamma 90.00
loop_
_atom_site_label
_atom_site_fract_x
_atom_site_fract_y
_atom_site_fract_z
Mo1 0.051 0.131 0.378
Mo2 0.051 0.369 0.878
Mo3 0.949 0.631 0.122
Mo4 0.949 0.869 0.622
P1 0.183 0.033 0.772
P2 0.183 0.467 0.272
P3 0.184 0.194 0.545
P4 0.184 0.306 0.045
P5 0.430 0.645 0.088
P6 0.430 0.855 0.588
P7 0.570 0.145 0.412
P8 0.570 0.355 0.912
P9 0.816 0.694 0.955
P10 0.816 0.806 0.455
P11 0.817 0.533 0.728
P12 0.817 0.967 0.228
Pb1 0.323 0.619 0.424
Pb2 0.323 0.881 0.924
Pb3 0.329 0.527 0.729
Pb4 0.329 0.973 0.229
Pb5 0.671 0.027 0.771
Pb6 0.671 0.473 0.271
Pb7 0.677 0.119 0.076
Pb8 0.677 0.381 0.576
O1 0.000 0.127 0.578
O2 0.000 0.373 0.078
O3 0.000 0.627 0.922
O4 0.000 0.873 0.422
O5 0.009 0.014 0.282
O6 0.009 0.486 0.782
O7 0.088 0.103 0.835
O8 0.088 0.397 0.335
O9 0.108 0.233 0.973
O10 0.108 0.267 0.473
O11 0.273 0.681 0.137
O12 0.273 0.819 0.637
O13 0.313 0.644 0.296
O14 0.313 0.856 0.796
O15 0.321 0.007 0.534
O16 0.321 0.493 0.034
O17 0.323 0.169 0.090
O18 0.323 0.182 0.747
O19 0.323 0.318 0.247
O20 0.323 0.331 0.590
O21 0.367 0.057 0.374
O22 0.367 0.443 0.874
O23 0.472 0.681 0.547
O24 0.472 0.819 0.047
O25 0.528 0.181 0.953
O26 0.528 0.319 0.453
O27 0.633 0.557 0.126
O28 0.633 0.943 0.626
O29 0.677 0.669 0.410
O30 0.677 0.682 0.753
O31 0.677 0.818 0.253
O32 0.677 0.831 0.910
O33 0.679 0.507 0.966
O34 0.679 0.993 0.466
O35 0.687 0.144 0.204
O36 0.687 0.356 0.704
O37 0.727 0.181 0.363
O38 0.727 0.319 0.863
O39 0.892 0.733 0.527
O40 0.892 0.767 0.027
O41 0.912 0.603 0.665
O42 0.912 0.897 0.165
O43 0.991 0.514 0.218
O44 0.991 0.986 0.718
```



[9]
# CsOsRh3

A crystal of CsOsRh3 relaxed with PBEsol (SCAN, Alexandria).

Space group: Pm-3m, No. 221
E_form (eV/atom): 3.02
Volume (A^3/atom): 21.50

```
data_CsOsRh3
_symmetry_space_group_name_H-M 'P 1'
_symmetry_Int_Tables_number 1
_symmetry_space_group_name_Hall 'P 1'
_cell_length_a 4.755
_cell_length_b 4.755
_cell_length_c 4.755
_cell_angle_alpha 90.00
_cell_angle_beta 90.00
_cell_angle_gamma 90.00
loop_
_atom_site_label
_atom_site_fract_x
_atom_site_fract_y
_atom_site_fract_z
Cs1 0.000 0.000 0.000
Os1 0.500 0.500 0.500
Rh1 0.000 0.000 0.500
Rh2 0.000 0.500 0.000
Rh3 0.500 0.000 0.000
```



[10]
# YTaHg

A crystal of YTaHg relaxed with PBEsol (SCAN, Alexandria).

Space group: F-43m, No. 216
Excess energy over the best structure of this formula in the dataset (meV per atom): 556
E_form (eV/atom): 1.12
Volume (A^3/atom): 26.19

```
data_YTaHg
_symmetry_space_group_name_H-M 'P 1'
_symmetry_Int_Tables_number 1
_symmetry_space_group_name_Hall 'P 1'
_cell_length_a 4.807
_cell_length_b 4.807
_cell_length_c 4.807
_cell_angle_alpha 60.00
_cell_angle_beta 60.00
_cell_angle_gamma 60.00
loop_
_atom_site_label
_atom_site_fract_x
_atom_site_fract_y
_atom_site_fract_z
Y1 0.000 0.000 0.000
Ta1 0.250 0.250 0.250
Hg1 0.750 0.750 0.750
```



[11]
# ReTc

A crystal of ReTc relaxed with PBEsol (SCAN, Alexandria).

Space group: P-6m2, No. 187
Excess energy over the best structure of this formula in the dataset (meV per atom): 0
E_form (eV/atom): -0.01
Volume (A^3/atom): 14.30

```
data_ReTc
_symmetry_space_group_name_H-M 'P 1'
_symmetry_Int_Tables_number 1
_symmetry_space_group_name_Hall 'P 1'
_cell_length_a 2.736
_cell_length_b 2.736
_cell_length_c 4.413
_cell_angle_alpha 90.00
_cell_angle_beta 90.00
_cell_angle_gamma 120.00
loop_
_atom_site_label
_atom_site_fract_x
_atom_site_fract_y
_atom_site_fract_z
Re1 0.000 0.000 0.000
Tc1 0.667 0.333 0.500
```



[12]
# NaZrCl2

A crystal of NaZrCl2 relaxed with PBEsol (SCAN, Alexandria).

Space group: R-3m, No. 166
Excess energy over the best structure of this formula in the dataset (meV per atom): 0
Volume (A^3/atom): 23.05

```
data_NaZrCl2
_symmetry_space_group_name_H-M 'P 1'
_symmetry_Int_Tables_number 1
_symmetry_space_group_name_Hall 'P 1'
_cell_length_a 9.937
_cell_length_b 9.937
_cell_length_c 9.937
_cell_angle_alpha 19.14
_cell_angle_beta 19.14
_cell_angle_gamma 19.14
loop_
_atom_site_label
_atom_site_fract_x
_atom_site_fract_y
_atom_site_fract_z
Na1 0.000 0.000 0.000
Zr1 0.500 0.500 0.500
Cl1 0.105 0.105 0.105
Cl2 0.895 0.895 0.895
```